Entry 1:
A plane-wave DFT calculation with GGA-PBE was carried out for crystalline AlTl2SeO6 at its relaxed geometry.

E ... -5.211 eV/atom
Total moment ... 0.0 Bohr magnetons per cell
E_form (uncorrected) ... -1.04 eV/atom

Geometry as CIF:
```
data_AlTl2SeO6
_cell_length_a 5.9035
_cell_length_b 5.9035
_cell_length_c 4.9962
_cell_angle_alpha 90.00
_cell_angle_beta 90.00
_cell_angle_gamma 120.00
_symmetry_space_group_name_H-M 'P -3 m 1'
_symmetry_Int_Tables_number 164
_symmetry_space_group_name_Hall '-P 3 2"'
loop_
_atom_site_label
_atom_site_type_symbol
_atom_site_fract_x
_atom_site_fract_y
_atom_site_fract_z
Al1 Al 0.0000 0.0000 0.0000
Tl1 Tl 0.3333 0.6667 0.3304
Se1 Se 0.0000 0.0000 0.5000
O1 O 0.1389 0.2777 0.7330
```

---

Entry 2:
A plane-wave DFT calculation with GGA-PBE was carried out for crystalline Y2MgPtN at its relaxed geometry.

E ... -6.818 eV/atom
Total moment ... 0.0 Bohr magnetons per cell
E_form (uncorrected) ... -1.04 eV/atom

Geometry as CIF:
```
data_Y2MgPtN
_cell_length_a 4.778
_cell_length_b 4.778
_cell_length_c 4.132
_cell_angle_alpha 90.00
_cell_angle_beta 90.00
_cell_angle_gamma 90.00
_symmetry_space_group_name_H-M 'P 4/m m m'
_symmetry_Int_Tables_number 123
_symmetry_space_group_name_Hall '-P 4 2'
loop_
_atom_site_label
_atom_site_type_symbol
_atom_site_fract_x
_atom_site_fract_y
_atom_site_fract_z
Y1 Y 0.000 0.500 0.000
Mg1 Mg 0.000 0.000 0.500
Pt1 Pt 0.500 0.500 0.500
N1 N 0.000 0.000 0.000
```

---

Entry 3:
A plane-wave DFT calculation with GGA-PBE was carried out for crystalline NiMoPt2 at its relaxed geometry.

E ... -7.186 eV/atom
Total moment ... 0.0 Bohr magnetons per cell
Energy of formation from the pure elements ... -0.013 eV per atom
Distance to the lowest polymorph of the same formula ... 0.283 eV per atom

Geometry as CIF:
```
data_NiMoPt2
_cell_length_a 6.190
_cell_length_b 6.190
_cell_length_c 6.190
_cell_angle_alpha 90.00
_cell_angle_beta 90.00
_cell_angle_gamma 90.00
_symmetry_space_group_name_H-M 'F m -3 m'
_symmetry_Int_Tables_number 225
_symmetry_space_group_name_Hall '-F 4 2 3'
loop_
_atom_site_label
_atom_site_type_symbol
_atom_site_fract_x
_atom_site_fract_y
_atom_site_fract_z
Ni1 Ni 0.000 0.000 0.000
Mo1 Mo 0.000 0.000 0.500
Pt1 Pt 0.250 0.250 0.250
```

---

Entry 4:
A plane-wave DFT calculation with GGA-PBE was carried out for crystalline HgGeIr3 at its relaxed geometry.

E ... -3.932 eV/atom
Total moment ... 1.0 Bohr magnetons per cell
Energy of formation from the pure elements ... 2.369 eV per atom
Distance to the lowest polymorph of the same formula ... 1.331 eV per atom

Geometry as CIF:
```
data_HgGeIr3
_cell_length_a 4.938
_cell_length_b 4.938
_cell_length_c 4.938
_cell_angle_alpha 90.00
_cell_angle_beta 90.00
_cell_angle_gamma 90.00
_symmetry_space_group_name_H-M 'P m -3 m'
_symmetry_Int_Tables_number 221
_symmetry_space_group_name_Hall '-P 4 2 3'
loop_
_atom_site_label
_atom_site_type_symbol
_atom_site_fract_x
_atom_site_fract_y
_atom_site_fract_z
Hg1 Hg 0.000 0.000 0.000
Ge1 Ge 0.500 0.500 0.500
Ir1 Ir 0.000 0.000 0.500
```

---

Entry 5:
A plane-wave DFT calculation with GGA-PBE was carried out for crystalline Tb7Dy2Tm at its relaxed geometry.

E ... -4.591 eV/atom
Total moment ... 0.0 Bohr magnetons per cell
Energy of formation from the pure elements ... 0.018 eV per atom
Distance to the lowest polymorph of the same formula ... 0.000 eV per atom

Geometry as CIF:
```
data_Tb7Dy2Tm
_cell_length_a 6.131
_cell_length_b 6.142
_cell_length_c 9.366
_cell_angle_alpha 102.63
_cell_angle_beta 109.00
_cell_angle_gamma 99.63
_symmetry_space_group_name_H-M 'P -1'
_symmetry_Int_Tables_number 2
loop_
_symmetry_equiv_pos_as_xyz
'x,y,z'
'-x,-y,-z'
loop_
_atom_site_label
_atom_site_type_symbol
_atom_site_fract_x
_atom_site_fract_y
_atom_site_fract_z
Tb1 Tb 0.000 0.000 0.000
Tb2 Tb 0.199 0.999 0.400
Tb3 Tb 0.400 0.999 0.800
Tb4 Tb 0.401 0.500 0.301
Dy1 Dy 0.200 0.500 0.900
Tm1 Tm 0.000 0.500 0.500
```

---

Entry 6:
A plane-wave DFT calculation with GGA-PBE was carried out for crystalline CsAl4O7 at its relaxed geometry.

E ... -6.864 eV/atom
Total moment ... 2.1 Bohr magnetons per cell
E_form (uncorrected) ... -2.65 eV/atom

Geometry as CIF:
```
data_CsAl4O7
_cell_length_a 13.423
_cell_length_b 5.432
_cell_length_c 5.119
_cell_angle_alpha 90.00
_cell_angle_beta 90.00
_cell_angle_gamma 90.00
_symmetry_space_group_name_H-M 'P m n 21'
_symmetry_Int_Tables_number 31
loop_
_symmetry_equiv_pos_as_xyz
'x,y,z'
'-x+1/2,-y,z+1/2'
'-x,y,z'
'x+1/2,-y,z+1/2'
loop_
_atom_site_label
_atom_site_type_symbol
_atom_site_fract_x
_atom_site_fract_y
_atom_site_fract_z
Cs1 Cs 0.000 0.216 0.000
Al1 Al 0.122 0.684 0.495
Al2 Al 0.248 0.834 0.991
O1 O 0.000 0.748 0.401
O2 O 0.139 0.751 0.827
O3 O 0.155 0.375 0.455
O4 O 0.212 0.885 0.328
```

---

Entry 7:
A plane-wave DFT calculation with GGA-PBE was carried out for crystalline SrTaW2 at its relaxed geometry.

E ... -8.392 eV/atom
Total moment ... 0.0 Bohr magnetons per cell
Energy of formation from the pure elements ... 1.469 eV per atom
Distance to the lowest polymorph of the same formula ... 0.774 eV per atom

Geometry as CIF:
```
data_SrTaW2
_cell_length_a 4.088
_cell_length_b 4.088
_cell_length_c 4.782
_cell_angle_alpha 90.00
_cell_angle_beta 90.00
_cell_angle_gamma 90.00
_symmetry_space_group_name_H-M 'P 4/m m m'
_symmetry_Int_Tables_number 123
_symmetry_space_group_name_Hall '-P 4 2'
loop_
_atom_site_label
_atom_site_type_symbol
_atom_site_fract_x
_atom_site_fract_y
_atom_site_fract_z
Sr1 Sr 0.000 0.000 0.000
Ta1 Ta 0.500 0.500 0.000
W1 W 0.000 0.500 0.500
```

---

Entry 8:
A plane-wave DFT calculation with GGA-PBE was carried out for crystalline Zn2InF6 at its relaxed geometry.

E ... -4.012 eV/atom
Total moment ... 0.0 Bohr magnetons per cell
E_form (uncorrected) ... -2.18 eV/atom

Geometry as CIF:
```
data_Zn2InF6
_cell_length_a 10.153
_cell_length_b 10.504
_cell_length_c 6.411
_cell_angle_alpha 90.00
_cell_angle_beta 114.70
_cell_angle_gamma 90.00
_symmetry_space_group_name_H-M 'C 1 2/c 1'
_symmetry_Int_Tables_number 15
loop_
_symmetry_equiv_pos_as_xyz
'x,y,z'
'-x,-y,-z'
'-x,y,-z+1/2'
'x,-y,z+1/2'
'x+1/2,y+1/2,z'
'-x+1/2,-y+1/2,-z'
'-x+1/2,y+1/2,-z+1/2'
'x+1/2,-y+1/2,z+1/2'
loop_
_atom_site_label
_atom_site_type_symbol
_atom_site_fract_x
_atom_site_fract_y
_atom_site_fract_z
Zn1 Zn 0.145 0.087 0.190
In1 In 0.000 0.414 0.250
F1 F 0.104 0.052 0.465
F2 F 0.119 0.267 0.151
F3 F 0.141 0.443 0.640
```